No. 1
LiMgTlAg: relaxed, GGA-PBE.

Calculated values
- Formation energy: -0.16 eV per atom

Cell lengths 6.818, 6.818, 6.818 Å; angles 90.00, 90.00, 90.00 degrees
Space group F-43m (No. 216)
Symmetry-distinct sites (fractional):
Li  0.000  0.000  0.000 x4
Mg  0.000  0.000  0.500 x4
Tl  0.250  0.250  0.250 x4
Ag  0.250  0.250  0.750 x4



No. 2
LiMgTlAg: relaxed, GGA-PBE.

Calculated values
- Formation energy: -0.18 eV per atom

Cell lengths 3.434, 3.434, 6.723 Å; angles 90.00, 90.00, 90.00 degrees
Space group P4mm (No. 99)
Symmetry-distinct sites (fractional):
Li  0.000  0.000  0.000 x1
Mg  0.000  0.000  0.448 x1
Tl  0.500  0.500  0.751 x1
Ag  0.500  0.500  0.216 x1



No. 3
Li2Mg3Tl3Ag: relaxed, GGA-PBE.

Calculated values
- Formation energy: -0.13 eV per atom

Cell lengths 8.2764, 8.2764, 3.2858 Å; angles 90.00, 90.00, 120.00 degrees
Space group P-62m (No. 189)
Symmetry-distinct sites (fractional):
Li  0.3333  0.6667  0.0000 x2
Mg  0.0000  0.7224  0.0000 x3
Tl  0.0000  0.3839  0.5000 x3
Ag  0.0000  0.0000  0.5000 x1



No. 4
Li5Mg2Tl2Ag: relaxed, GGA-PBE.

Calculated values
- Formation energy: -0.11 eV per atom

Cell lengths 11.066, 11.066, 3.377 Å; angles 90.00, 90.00, 90.00 degrees
Space group P4/mbm (No. 127)
Symmetry-distinct sites (fractional):
Li  0.000  0.500  0.000 x2
Li  0.032  0.187  0.000 x8
Mg  0.166  0.666  0.500 x4
Tl  0.142  0.358  0.500 x4
Ag  0.000  0.000  0.500 x2



No. 5
LiTmMg2Ag4: relaxed, GGA-PBE.

Calculated values
- Formation energy: -0.25 eV per atom

Cell lengths 4.7735, 4.7735, 23.5041 Å; angles 90.00, 90.00, 120.00 degrees
Space group R-3m (No. 166, hexagonal axes)
Symmetry-distinct sites (fractional):
Li  0.0000  0.0000  0.0000 x3
Tm  0.0000  0.0000  0.5000 x3
Mg  0.0000  0.0000  0.2520 x6
Ag  0.0000  0.0000  0.1157 x6
Ag  0.0000  0.0000  0.3722 x6



No. 6
LiTmMgAg: relaxed, GGA-PBE.

Calculated values
- Formation energy: -0.15 eV per atom

Cell lengths 6.934, 6.934, 6.934 Å; angles 90.00, 90.00, 90.00 degrees
Space group F-43m (No. 216)
Symmetry-distinct sites (fractional):
Li  0.000  0.000  0.000 x4
Tm  0.250  0.250  0.250 x4
Mg  0.250  0.250  0.750 x4
Ag  0.000  0.000  0.500 x4



No. 7
Li2YMg2Ag2: relaxed, GGA-PBE.

Calculated values
- Formation energy: -0.20 eV per atom

Cell lengths 8.387, 4.813, 7.712 Å; angles 90.00, 110.89, 90.00 degrees
Space group C2/m (No. 12)
Symmetry-distinct sites (fractional):
Li  0.150  0.000  0.450 x4
Y  0.000  0.000  0.000 x2
Mg  0.076  0.500  0.729 x4
Ag  0.229  0.500  0.187 x4



No. 8
LiYMgAg: relaxed, GGA-PBE.

Calculated values
- Formation energy: -0.17 eV per atom

Cell lengths 7.005, 7.005, 7.005 Å; angles 90.00, 90.00, 90.00 degrees
Space group F-43m (No. 216)
Symmetry-distinct sites (fractional):
Li  0.000  0.000  0.000 x4
Y  0.250  0.250  0.750 x4
Mg  0.250  0.250  0.250 x4
Ag  0.000  0.000  0.500 x4



Calculated total magnetic moment (μB/f.u.), listed in the same order as above: 0.00 0.00 0.00 0.00 0.00 0.02 0.00 0.47